19
Lattice="-5.031 5.031 5.031 5.031 -5.031 5.031 5.031 5.031 -5.031" Properties=species:S:1:pos:R:3 comment="Nd12Co6Bi (PBE, relaxed)" volume_a3_per_cell=509.39 e_form_ev_per_atom=-0.1818 m_tot_mub_per_cell=0.00 dft_energy_ev_per_atom=-5.641 pbc="T T T"
Nd 5.031 3.075 -1.929
Nd 3.102 0.000 1.956
Nd 6.960 0.000 1.956
Nd 1.956 3.102 0.000
Nd 3.075 -1.929 5.031
Nd 5.031 3.075 1.929
Nd 0.000 1.956 3.102
Nd 1.956 6.960 0.000
Nd 3.075 1.929 5.031
Nd -1.929 5.031 3.075
Nd 1.929 5.031 3.075
Nd 0.000 1.956 6.960
Co 5.031 1.112 0.000
Co 5.031 0.000 3.919
Co 3.919 5.031 0.000
Co 1.112 0.000 5.031
Co 0.000 5.031 1.112
Co 0.000 3.919 5.031
Bi 0.000 0.000 0.000